[1]
A plane-wave DFT calculation with PBE was carried out for a relaxed structure of SrCu2Si. Values from VASP.

Geometry as Quantum ESPRESSO input:
```
&SYSTEM
  ibrav = 0, nat = 8, ntyp = 3
/
ATOMIC_SPECIES
Sr 87.62 Sr.upf
Cu 63.55 Cu.upf
Si 28.09 Si.upf
CELL_PARAMETERS angstrom
7.2193 0.0000 0.0000
0.0000 4.1653 0.0000
-2.3972 0.0000 5.3174
ATOMIC_POSITIONS angstrom
Sr 0.0000 0.0000 0.0000
Sr 3.6096 2.0826 0.0000
Cu 0.0049 0.0000 3.0459
Cu 1.2075 2.0826 2.2716
Cu 3.6145 2.0826 3.0459
Cu 4.8171 0.0000 2.2716
Si -1.1986 2.0826 2.6587
Si 2.4110 0.0000 2.6587
```


[2]
! Sr2CuSi2 PBE relaxed; values from VASP
&SYSTEM
  ibrav = 0, nat = 10, ntyp = 3
/
ATOMIC_SPECIES
Sr 87.62 Sr.upf
Cu 63.55 Cu.upf
Si 28.09 Si.upf
CELL_PARAMETERS angstrom
3.6662 0.0000 0.0000
0.0000 3.6662 0.0000
0.0000 0.0000 18.7677
ATOMIC_POSITIONS angstrom
Sr 0.0000 0.0000 1.9725
Sr 0.0000 0.0000 16.7952
Sr 1.8331 1.8331 7.4114
Sr 1.8331 1.8331 11.3563
Cu 0.0000 0.0000 9.3838
Cu 1.8331 1.8331 0.0000
Si 0.0000 1.8331 4.6919
Si 0.0000 1.8331 14.0758
Si 1.8331 0.0000 4.6919
Si 1.8331 0.0000 14.0758
! Distance to the lowest polymorph of the same formula, meV per atom: 276


[3]
A plane-wave DFT calculation with PBE was carried out for a relaxed structure of SrCu2Si. Values from VASP.

Geometry as Quantum ESPRESSO input:
```
&SYSTEM
  ibrav = 0, nat = 4, ntyp = 3
/
ATOMIC_SPECIES
Sr 87.62 Sr.upf
Cu 63.55 Cu.upf
Si 28.09 Si.upf
CELL_PARAMETERS angstrom
3.4516 0.0000 0.0000
0.0000 4.0539 0.0000
-1.1231 0.0000 5.8290
ATOMIC_POSITIONS angstrom
Sr 0.0000 0.0000 0.0000
Cu 0.3597 2.0269 3.8381
Cu 1.9688 2.0269 1.9909
Si 1.1642 0.0000 2.9145
```


[4]
A plane-wave DFT calculation with PBE was carried out for a relaxed structure of SrCu2Si. Values from VASP.

Geometry as Quantum ESPRESSO input:
```
&SYSTEM
  ibrav = 0, nat = 8, ntyp = 3
/
ATOMIC_SPECIES
Sr 87.62 Sr.upf
Cu 63.55 Cu.upf
Si 28.09 Si.upf
CELL_PARAMETERS angstrom
4.6620 0.0000 0.0000
0.0000 4.7364 0.0000
0.0000 0.0000 6.8157
ATOMIC_POSITIONS angstrom
Sr 0.0000 0.0000 0.0000
Sr 2.3310 2.3682 0.0000
Cu 0.0000 2.3682 2.1904
Cu 0.0000 2.3682 4.6253
Cu 2.3310 0.0000 2.1904
Cu 2.3310 0.0000 4.6253
Si 0.0000 0.0000 3.4078
Si 2.3310 2.3682 3.4078
```


[5]
A plane-wave DFT calculation with PBE was carried out for a relaxed structure of Sr2Cu6Si3. Values from VASP.

Geometry as Quantum ESPRESSO input:
```
&SYSTEM
  ibrav = 0, nat = 11, ntyp = 3
/
ATOMIC_SPECIES
Sr 87.62 Sr.upf
Cu 63.55 Cu.upf
Si 28.09 Si.upf
CELL_PARAMETERS angstrom
7.3489 0.0000 0.0000
-3.6744 6.3643 0.0000
0.0000 0.0000 4.1817
ATOMIC_POSITIONS angstrom
Sr 0.0000 4.2429 0.0000
Sr 3.6744 2.1214 0.0000
Cu -1.0967 1.8996 2.0908
Cu -2.9578 5.1231 0.0000
Cu 0.7166 1.2412 0.0000
Cu 2.1935 0.0000 2.0908
Cu 2.5777 4.4647 2.0908
Cu 5.9157 0.0000 0.0000
Si -2.3875 4.1352 2.0908
Si 1.2870 2.2291 2.0908
Si 4.7750 0.0000 2.0908
```


[6]
A plane-wave DFT calculation with PBE was carried out for a relaxed structure of SrCu2Si. Values from VASP.

Geometry as Quantum ESPRESSO input:
```
&SYSTEM
  ibrav = 0, nat = 8, ntyp = 3
/
ATOMIC_SPECIES
Sr 87.62 Sr.upf
Cu 63.55 Cu.upf
Si 28.09 Si.upf
CELL_PARAMETERS angstrom
6.1068 0.0000 0.0000
0.0000 9.3649 0.0000
-1.3388 0.0000 2.6732
ATOMIC_POSITIONS angstrom
Sr 0.0000 0.0000 0.0000
Sr 3.0534 4.6824 0.0000
Cu 0.8573 2.3412 1.3366
Cu 0.8573 7.0237 1.3366
Cu 3.9107 2.3412 1.3366
Cu 3.9107 7.0237 1.3366
Si 0.0000 4.6824 0.0000
Si 3.0534 0.0000 0.0000
```


| no. | formation energy without anion corrections (eV/atom) |
| --- | --- |
| 1 | -0.29 |
| 2 | 0.04 |
| 3 | 0.08 |
| 4 | 0.19 |
| 5 | -0.17 |
| 6 | 0.43 |